*a*
Compound: Ti5Bi2H
Source: Alexandria via LeMat-Bulk
Functional: GGA-PBE
Structure: relaxed

Cell and atoms, written as POSCAR:
```
Ti5Bi2H
1.0
-2.9384 2.9384 4.2067
2.9384 -2.9384 4.2067
2.9384 2.9384 -4.2067
Ti Bi H
5 2 1
direct
0.0000 0.0000 0.0000
0.4963 0.4963 0.4980
0.4963 0.9983 0.0000
0.9983 0.4963 0.0000
0.9983 0.9983 0.5020
0.4985 0.9985 0.5000
0.9985 0.4985 0.5000
0.7583 0.7583 0.0000
```

Computed properties:
Calculated density in g cm⁻³: 7.52
DOS at the Fermi energy in states/eV/f.u.: 10.64
M_tot in Bohr magnetons per cell: 0.000

*b*
Compound: Ti5Bi2H
Source: Alexandria via LeMat-Bulk
Functional: GGA-PBE
Structure: relaxed

Cell and atoms, written as POSCAR:
```
Ti5Bi2H
1.0
7.3639 0.0000 0.0000
0.0000 5.9365 0.0000
0.0000 0.0000 12.6172
Ti Bi H
20 8 4
direct
0.0000 0.0000 0.0000
0.0000 0.5000 0.0000
0.0201 0.2500 0.2093
0.1643 0.5128 0.6193
0.1643 0.9872 0.6193
0.1737 0.7500 0.4168
0.3263 0.2500 0.9168
0.3357 0.0128 0.1193
0.3357 0.4872 0.1193
0.4799 0.7500 0.7093
0.5000 0.0000 0.5000
0.5000 0.5000 0.5000
0.5201 0.2500 0.2907
0.6643 0.5128 0.8807
0.6643 0.9872 0.8807
0.6737 0.7500 0.0832
0.8263 0.2500 0.5832
0.8357 0.0128 0.3807
0.8357 0.4872 0.3807
0.9799 0.7500 0.7907
0.0166 0.7500 0.2038
0.1772 0.2500 0.4211
0.3228 0.7500 0.9211
0.4834 0.2500 0.7038
0.5166 0.7500 0.2962
0.6772 0.2500 0.0789
0.8228 0.7500 0.5789
0.9834 0.2500 0.7962
0.1712 0.2500 0.0526
0.3288 0.7500 0.5526
0.6712 0.2500 0.4474
0.8288 0.7500 0.9474
```

Computed properties:
Calculated density in g cm⁻³: 7.93
DOS at the Fermi energy in states/eV/f.u.: 7.38
M_tot in Bohr magnetons per cell: 0.003

*b* (89 meV/atom below the next structure)

*a*
Compound: Ti2BiH
Source: Alexandria via LeMat-Bulk
Functional: GGA-PBE
Structure: relaxed

Cell and atoms, written as POSCAR:
```
Ti2BiH
1.0
1.8713 -7.0278 0.0000
1.8713 7.0278 0.0000
0.0000 0.0000 4.6031
Ti Bi H
4 2 2
direct
0.0723 0.9277 0.7500
0.2615 0.7385 0.2500
0.7385 0.2615 0.7500
0.9277 0.0723 0.2500
0.4053 0.5947 0.7500
0.5947 0.4053 0.2500
0.2069 0.7931 0.7500
0.7931 0.2069 0.2500
```

Computed properties:
Calculated density in g cm⁻³: 8.39
DOS at the Fermi energy in states/eV/f.u.: 2.97
M_tot in Bohr magnetons per cell: 0.000

*b*
Compound: Ti2BiH
Source: Alexandria via LeMat-Bulk
Functional: GGA-PBE
Structure: relaxed

Cell and atoms, written as POSCAR:
```
Ti2BiH
1.0
1.6620 0.9596 6.6006
-1.6620 0.9596 6.6006
0.0000 -1.9191 6.6006
Ti Bi H
2 1 1
direct
0.0000 0.0000 0.0000
0.2314 0.2314 0.2314
0.4496 0.4496 0.4496
0.6180 0.6180 0.6180
```

Computed properties:
Calculated density in g cm⁻³: 8.04
DOS at the Fermi energy in states/eV/f.u.: 3.27
M_tot in Bohr magnetons per cell: 0.685

*a* (87 meV/atom below the next structure)

*a*
Compound: Ti2BiH
Source: Alexandria via LeMat-Bulk
Functional: GGA-PBE
Structure: relaxed

Cell and atoms, written as POSCAR:
```
Ti2BiH
1.0
7.1726 0.0000 0.0000
0.0000 5.5397 0.0000
-1.7974 0.0000 6.5730
Ti Bi H
8 4 4
direct
0.0417 0.1358 0.3235
0.0417 0.3642 0.8235
0.2480 0.6250 0.5356
0.2480 0.8750 0.0356
0.7520 0.1250 0.9644
0.7520 0.3750 0.4644
0.9583 0.6358 0.1765
0.9583 0.8642 0.6765
0.3460 0.1172 0.6919
0.3460 0.3828 0.1919
0.6540 0.6172 0.8081
0.6540 0.8828 0.3081
0.1720 0.6607 0.7873
0.1720 0.8393 0.2873
0.8280 0.1607 0.7127
0.8280 0.3393 0.2127
```

Computed properties:
Calculated density in g cm⁻³: 7.78
DOS at the Fermi energy in states/eV/f.u.: 2.31
M_tot in Bohr magnetons per cell: 0.000

*b*
Compound: Ti2BiH
Source: Alexandria via LeMat-Bulk
Functional: GGA-PBE
Structure: relaxed

Cell and atoms, written as POSCAR:
```
Ti2BiH
1.0
-2.7114 2.7114 4.5591
2.7114 -2.7114 4.5591
2.7114 2.7114 -4.5591
Ti Bi H
4 2 2
direct
0.0000 0.0000 0.0000
0.0000 0.0000 0.5000
0.0000 0.5000 0.0000
0.5000 0.0000 0.5000
0.3750 0.6250 0.7500
0.6250 0.3750 0.2500
0.1250 0.8750 0.2500
0.8750 0.1250 0.7500
```

Computed properties:
Calculated density in g cm⁻³: 7.57
DOS at the Fermi energy in states/eV/f.u.: 4.32
M_tot in Bohr magnetons per cell: 0.000

*c*
Compound: Ti2BiH
Source: Alexandria via LeMat-Bulk
Functional: GGA-PBE
Structure: relaxed

Cell and atoms, written as POSCAR:
```
Ti2BiH
1.0
0.0000 3.2518 3.2518
3.2518 0.0000 3.2518
3.2518 3.2518 0.0000
Ti Bi H
2 1 1
direct
0.2500 0.2500 0.2500
0.7500 0.7500 0.7500
0.0000 0.0000 0.0000
0.5000 0.5000 0.5000
```

Computed properties:
Calculated density in g cm⁻³: 7.38
DOS at the Fermi energy in states/eV/f.u.: 1.64
M_tot in Bohr magnetons per cell: 0.000

*d*
Compound: Ti2BiH
Source: Alexandria via LeMat-Bulk
Functional: GGA-PBE
Structure: relaxed

Cell and atoms, written as POSCAR:
```
Ti2BiH
1.0
1.6504 0.9529 6.7944
-1.6504 0.9529 6.7944
0.0000 -1.9057 6.7944
Ti Bi H
2 1 1
direct
0.2161 0.2161 0.2161
0.7839 0.7839 0.7839
0.0000 0.0000 0.0000
0.5000 0.5000 0.5000
```

Computed properties:
Calculated density in g cm⁻³: 7.92
DOS at the Fermi energy in states/eV/f.u.: 3.64
M_tot in Bohr magnetons per cell: 1.146

*a* (180 meV/atom below the next structure)

*a*
Compound: Ti3BiH
Source: Alexandria via LeMat-Bulk
Functional: GGA-PBE
Structure: relaxed

Cell and atoms, written as POSCAR:
```
Ti3BiH
1.0
-2.6709 2.6709 5.9484
2.6709 -2.6709 5.9484
2.6709 2.6709 -5.9484
Ti Bi H
6 2 2
direct
0.1877 0.1877 0.0000
0.3670 0.6284 0.7386
0.3716 0.1102 0.7386
0.3716 0.6330 0.2614
0.8123 0.8123 0.0000
0.8898 0.6284 0.2614
0.5979 0.0979 0.5000
0.9021 0.4021 0.5000
0.2500 0.7500 0.5000
0.5000 0.5000 0.0000
```

Computed properties:
Calculated density in g cm⁻³: 6.92
DOS at the Fermi energy in states/eV/f.u.: 2.86
M_tot in Bohr magnetons per cell: 0.000

*b*
Compound: Ti3BiH
Source: Alexandria via LeMat-Bulk
Functional: GGA-PBE
Structure: relaxed

Cell and atoms, written as POSCAR:
```
Ti3BiH
1.0
7.5464 0.0000 0.0000
0.0000 5.4460 0.0000
-1.3218 0.0000 7.7520
Ti Bi H
12 4 4
direct
0.0421 0.0972 0.1799
0.0421 0.4028 0.6799
0.1720 0.5589 0.0725
0.1720 0.9411 0.5725
0.3084 0.1183 0.9371
0.3084 0.3817 0.4371
0.6916 0.6183 0.5629
0.6916 0.8817 0.0629
0.8280 0.0589 0.4275
0.8280 0.4411 0.9275
0.9579 0.5972 0.3201
0.9579 0.9028 0.8201
0.3976 0.6220 0.8053
0.3976 0.8780 0.3053
0.6024 0.1220 0.6947
0.6024 0.3780 0.1947
0.0619 0.2454 0.4429
0.0619 0.2546 0.9429
0.9381 0.7454 0.0571
0.9381 0.7546 0.5571
```

Computed properties:
Calculated density in g cm⁻³: 7.37
DOS at the Fermi energy in states/eV/f.u.: 0.69
M_tot in Bohr magnetons per cell: 0.000

*c*
Compound: Ti3BiH
Source: Alexandria via LeMat-Bulk
Functional: GGA-PBE
Structure: relaxed

Cell and atoms, written as POSCAR:
```
Ti3BiH
1.0
5.0262 -5.8745 0.0000
5.0262 5.8745 0.0000
-0.6448 0.0000 5.4381
Ti Bi H
12 4 4
direct
0.0531 0.1926 0.6059
0.0731 0.7074 0.8915
0.1799 0.5539 0.4712
0.1926 0.0531 0.1059
0.2926 0.9269 0.6085
0.4461 0.8201 0.0288
0.5539 0.1799 0.9712
0.7074 0.0731 0.3915
0.8074 0.9469 0.8941
0.8201 0.4461 0.5288
0.9269 0.2926 0.1085
0.9469 0.8074 0.3941
0.2728 0.4341 0.9832
0.4341 0.2728 0.4832
0.5659 0.7272 0.5168
0.7272 0.5659 0.0168
0.0583 0.9417 0.7500
0.1846 0.8154 0.2500
0.8154 0.1846 0.7500
0.9417 0.0583 0.2500
```

Computed properties:
Calculated density in g cm⁻³: 7.31
DOS at the Fermi energy in states/eV/f.u.: 3.13
M_tot in Bohr magnetons per cell: 0.000

*d*
Compound: Ti3BiH
Source: Alexandria via LeMat-Bulk
Functional: GGA-PBE
Structure: relaxed

Cell and atoms, written as POSCAR:
```
Ti3BiH
1.0
5.0682 0.0000 0.0000
0.0000 5.7474 0.0000
-0.1703 0.0000 5.3255
Ti Bi H
6 2 2
direct
0.2075 0.2500 0.1633
0.2554 0.5005 0.6331
0.2554 0.9995 0.6331
0.7446 0.0005 0.3669
0.7446 0.4995 0.3669
0.7925 0.7500 0.8367
0.2903 0.7500 0.1289
0.7097 0.2500 0.8711
0.0241 0.2500 0.4576
0.9759 0.7500 0.5424
```

Computed properties:
Calculated density in g cm⁻³: 7.57
DOS at the Fermi energy in states/eV/f.u.: 4.91
M_tot in Bohr magnetons per cell: 0.000

*d* (17 meV/atom below the next structure)

*a*
Compound: Ti3BiH
Source: Alexandria via LeMat-Bulk
Functional: GGA-PBE
Structure: relaxed

Cell and atoms, written as POSCAR:
```
Ti3BiH
1.0
3.2418 0.0000 0.0000
-1.6209 2.8075 0.0000
0.0000 0.0000 18.2151
Ti Bi H
6 2 2
direct
0.0000 0.0000 0.2500
0.0000 0.0000 0.7500
0.3333 0.6667 0.1326
0.3333 0.6667 0.3674
0.6667 0.3333 0.6326
0.6667 0.3333 0.8674
0.0000 0.0000 0.0000
0.0000 0.0000 0.5000
0.3333 0.6667 0.2500
0.6667 0.3333 0.7500
```

Computed properties:
Calculated density in g cm⁻³: 7.08
DOS at the Fermi energy in states/eV/f.u.: 7.05
M_tot in Bohr magnetons per cell: 0.000

*b*
Compound: Ti3BiH
Source: Alexandria via LeMat-Bulk
Functional: GGA-PBE
Structure: relaxed

Cell and atoms, written as POSCAR:
```
Ti3BiH
1.0
-2.3450 2.3450 10.4288
2.3450 -2.3450 10.4288
2.3450 2.3450 -10.4288
Ti Bi H
6 2 2
direct
0.1716 0.1716 0.0000
0.3693 0.6230 0.7463
0.3770 0.1233 0.7463
0.3770 0.6307 0.2537
0.8284 0.8284 0.0000
0.8767 0.6230 0.2537
0.2500 0.7500 0.5000
0.5000 0.5000 0.0000
0.6418 0.1418 0.5000
0.8582 0.3582 0.5000
```

Computed properties:
Calculated density in g cm⁻³: 5.12
DOS at the Fermi energy in states/eV/f.u.: 6.09
M_tot in Bohr magnetons per cell: 3.553

*a* (725 meV/atom below the next structure)

*a*
Compound: Ti3BiH
Source: Alexandria via LeMat-Bulk
Functional: GGA-PBE
Structure: relaxed

Cell and atoms, written as POSCAR:
```
Ti3BiH
1.0
5.4230 0.0000 0.0000
0.0000 8.4300 0.0000
0.0000 0.0000 7.1768
Ti Bi H
12 4 4
direct
0.9999 0.1056 0.1219
0.9999 0.3944 0.1219
0.0001 0.6056 0.8781
0.0001 0.8944 0.8781
0.2462 0.2500 0.7526
0.2538 0.7500 0.2526
0.4999 0.1056 0.3781
0.4999 0.3944 0.3781
0.5001 0.6056 0.6219
0.5001 0.8944 0.6219
0.7462 0.2500 0.7474
0.7538 0.7500 0.2474
0.0000 0.0000 0.5000
0.0000 0.5000 0.5000
0.5000 0.0000 0.0000
0.5000 0.5000 0.0000
0.0067 0.7500 0.0693
0.4933 0.2500 0.5693
0.5067 0.7500 0.4307
0.9933 0.2500 0.9307
```

Computed properties:
Calculated density in g cm⁻³: 7.16
DOS at the Fermi energy in states/eV/f.u.: 4.40
M_tot in Bohr magnetons per cell: 0.000

*b*
Compound: Ti3BiH
Source: Alexandria via LeMat-Bulk
Functional: GGA-PBE
Structure: relaxed

Cell and atoms, written as POSCAR:
```
Ti3BiH
1.0
6.2158 0.0000 0.0000
0.0000 3.6436 0.0000
-2.3825 0.0000 7.0494
Ti Bi H
6 2 2
direct
0.0691 0.2500 0.3917
0.2942 0.2500 0.8785
0.4003 0.7500 0.6141
0.5997 0.2500 0.3859
0.7058 0.7500 0.1215
0.9309 0.7500 0.6083
0.2456 0.7500 0.1753
0.7544 0.2500 0.8247
0.2328 0.7500 0.7862
0.7672 0.2500 0.2138
```

Computed properties:
Calculated density in g cm⁻³: 7.36
DOS at the Fermi energy in states/eV/f.u.: 3.08
M_tot in Bohr magnetons per cell: 0.000

*c*
Compound: Ti3BiH
Source: Alexandria via LeMat-Bulk
Functional: GGA-PBE
Structure: relaxed

Cell and atoms, written as POSCAR:
```
Ti3BiH
1.0
2.8176 -4.9175 0.0000
2.8176 4.9175 0.0000
0.0000 0.0000 6.0495
Ti Bi H
6 2 2
direct
0.0000 0.0000 0.0000
0.0000 0.0000 0.5000
0.0249 0.4863 0.7500
0.4863 0.0249 0.2500
0.5137 0.9751 0.7500
0.9751 0.5137 0.2500
0.4709 0.5291 0.2500
0.5291 0.4709 0.7500
0.1112 0.8888 0.2500
0.8888 0.1112 0.7500
```

Computed properties:
Calculated density in g cm⁻³: 7.00
DOS at the Fermi energy in states/eV/f.u.: 4.90
M_tot in Bohr magnetons per cell: 0.000

*b* (216 meV/atom below the next structure)